Compound: KHoO3
Source: the Open Quantum Materials Database
Functional: PBE
Structure: optimized geometry

Unit cell a=6.3687 b=6.3687 c=15.1166 alpha=90.00 beta=90.00 gamma=120.00
Space group R-3 (No. 148, hexagonal axes)
Symmetry-distinct sites (fractional):
K 0.0000 0.0000 0.1208 (multiplicity 6)
Ho 0.0000 0.0000 0.3503 (multiplicity 6)
O 0.0240 0.5975 0.9289 (multiplicity 18)

Summary:
Calculated total energy, hartree per atom: -0.2195
Calculated volume, Å³/cell: 531.0